one) Entry from Alexandria: a relaxed structure of Tl2CdTe (PBE-GGA).

abc: 8.6416 8.6416 6.8323
angles: 90.00 90.00 90.00
Last column: nearest neighbours and their distance in Å.
Sites, in units of the cell vectors:
Tl: 0.2463 0.2500 0.1250  2 Cd 3.15, 2 Te 3.19, 2 Tl 3.42
Tl: 0.2500 0.7463 0.3750  2 Cd 3.15, 2 Te 3.19, 2 Tl 3.42
Tl: 0.2500 0.7537 0.8750  2 Cd 3.15, 2 Te 3.19, 2 Tl 3.42
Tl: 0.2537 0.2500 0.6250  2 Cd 3.15, 2 Te 3.19, 2 Tl 3.42
Tl: 0.7463 0.7500 0.6250  2 Cd 3.15, 2 Te 3.19, 2 Tl 3.42
Tl: 0.7500 0.2463 0.8750  2 Cd 3.15, 2 Te 3.19, 2 Tl 3.42
Tl: 0.7500 0.2537 0.3750  2 Cd 3.15, 2 Te 3.19, 2 Tl 3.42
Tl: 0.7537 0.7500 0.1250  2 Cd 3.15, 2 Te 3.19, 2 Tl 3.42
Cd: 0.0000 0.0000 0.0000  4 Tl 3.15, 2 Te 3.42
Cd: 0.0000 0.5000 0.2500  4 Tl 3.15, 2 Te 3.42
Cd: 0.5000 0.0000 0.7500  4 Tl 3.15, 2 Te 3.42
Cd: 0.5000 0.5000 0.5000  4 Tl 3.15, 2 Te 3.42
Te: 0.0000 0.0000 0.5000  4 Tl 3.19, 2 Cd 3.42
Te: 0.0000 0.5000 0.7500  4 Tl 3.19, 2 Cd 3.42
Te: 0.5000 0.0000 0.2500  4 Tl 3.19, 2 Cd 3.42
Te: 0.5000 0.5000 0.0000  4 Tl 3.19, 2 Cd 3.42

## Properties
V, Å³ per cell: 510.22

two) Entry from Alexandria: a relaxed structure of Tl2CdTe (PBE-GGA).

abc: 3.3442 5.1692 7.1594
angles: 90.00 102.97 90.00
Last column: nearest neighbours and their distance in Å.
Sites, in units of the cell vectors:
Tl: 0.0000 0.0000 0.0000  6 Tl 3.34-3.67, 4 Cd 3.38-3.39, 3 Te 3.65-3.70
Tl: 0.3592 0.5000 0.7142  6 Tl 3.34-3.67, 1 Cd 3.40, 4 Te 3.52
Cd: 0.5996 0.5000 0.2022  2 Te 3.19, 2 Cd 3.34, 5 Tl 3.38-3.40
Te: 0.7415 0.0000 0.4691  2 Cd 3.19, 2 Te 3.34, 4 Tl 3.52

## Properties
V, Å³ per cell: 120.60

three) Entry from Alexandria: a relaxed structure of Tl2CdTe (PBE-GGA).

abc: 8.8514 5.0467 6.7114
angles: 90.00 115.50 90.00
Last column: nearest neighbours and their distance in Å.
Sites, in units of the cell vectors:
Tl: 0.2488 0.0000 0.2454  3 Cd 3.29, 3 Te 3.31-3.32
Tl: 0.2512 0.5000 0.7546  3 Cd 3.29, 3 Te 3.31-3.32
Tl: 0.7488 0.5000 0.2454  3 Cd 3.29, 3 Te 3.31-3.32
Tl: 0.7512 0.0000 0.7546  3 Cd 3.29, 3 Te 3.31-3.32
Cd: 0.0000 0.5000 0.0000  6 Tl 3.29
Cd: 0.5000 0.0000 0.0000  6 Tl 3.29
Te: 0.0000 0.0000 0.5000  6 Tl 3.31-3.32
Te: 0.5000 0.5000 0.5000  6 Tl 3.31-3.32

## Properties
V, Å³ per cell: 270.61

Top of the stability list: three), leading by 31 meV per atom.